[1]
Material: Zr4AlCo
Method: DFT, PBE
State: optimized geometry

```
6
Lattice="-3.3744 3.3744 2.5823 3.3744 -3.3744 2.5823 3.3744 3.3744 -2.5823" Properties=species:S:1:pos:R:3 pbc="T T T"
Zr 2.3009 -1.0735 1.2912
Zr 4.4479 1.0735 1.2912
Zr 1.0735 2.3009 1.2912
Zr -1.0735 4.4479 1.2912
Al 0.0000 0.0000 2.5823
Co 0.0000 0.0000 0.0000
```

- Energy of formation from the pure elements: -1.435 eV/f.u.
- E above lowest polymorph: 34 meV per atom

[2]
Material: Zr2AlCo
Method: DFT, PBE
State: optimized geometry

```
4
Lattice="0.0000 3.2717 3.2717 3.2717 0.0000 3.2717 3.2717 3.2717 0.0000" Properties=species:S:1:pos:R:3 pbc="T T T"
Zr 0.0000 0.0000 0.0000
Zr 1.6358 1.6358 1.6358
Al 3.2717 3.2717 3.2717
Co 4.9075 4.9075 4.9075
```

- Energy of formation from the pure elements: -0.031 eV/f.u.

[3]
Material: ZrAl6Co2
Method: DFT, PBE
State: optimized geometry

```
9
Lattice="7.5207 0.0000 0.0000 -3.7604 6.5132 0.0000 0.0000 0.0000 2.8028" Properties=species:S:1:pos:R:3 pbc="T T T"
Zr 0.0000 0.0000 0.0000
Al -1.4133 2.4478 0.0000
Al -2.5377 4.3954 1.4014
Al 1.2227 2.1178 1.4014
Al 2.8265 0.0000 0.0000
Al 2.3471 4.0653 0.0000
Al 5.0754 0.0000 1.4014
Co 0.0000 4.3421 1.4014
Co 3.7604 2.1710 1.4014
```

- Energy of formation from the pure elements: -0.644 eV/f.u.

[4]
Material: ZrAlCo2
Method: DFT, PBE
State: optimized geometry

```
4
Lattice="4.6154 -1.5665 0.0000 4.6154 1.5665 0.0000 -1.2525 0.0000 3.9368" Properties=species:S:1:pos:R:3 pbc="T T T"
Zr 0.0000 0.0000 0.0000
Al 6.6370 0.0000 1.3781
Co 1.2866 0.0000 3.2581
Co 3.9586 0.0000 1.9240
```

- Energy of formation from the pure elements: -1.228 eV/f.u.

The following total DFT energy (no corrections) values (in eV/atom) correspond, in order, to the records above: -7.746; -6.994; -5.095; -6.932.